# 1
Entry from the Alexandria database: a relaxed structure of UPaTcPt (GGA-PBE).

It has space group F-43m (No. 216), with a = 6.886 Å, b = 6.886 Å, c = 6.886 Å, α = 90.00°, β = 90.00° and γ = 90.00°. The asymmetric unit holds U at (0.000, 0.000, 0.000), Pa at (0.000, 0.000, 0.500), Tc at (0.250, 0.250, 0.750) and Pt at (0.250, 0.250, 0.250).

Its calculated total energy is -9.60 eV per atom. The value obtained for the formation energy is -0.3019 eV/atom. As for the volume: 327 Å³/cell. The value obtained for the density of states at the Fermi level is 5.90 states/eV/f.u.

# 2
Entry from the Alexandria database: a relaxed structure of YPaTcPt (GGA-PBE).

It has space group F-43m (No. 216), with a = 6.942 Å, b = 6.942 Å, c = 6.942 Å, α = 90.00°, β = 90.00° and γ = 90.00°. The asymmetric unit holds Y at (0.000, 0.000, 0.000), Pa at (0.000, 0.000, 0.500), Tc at (0.250, 0.250, 0.250) and Pt at (0.250, 0.250, 0.750).

Its calculated total energy is -8.59 eV per atom. The value obtained for the formation energy is -0.4939 eV/atom. As for the volume: 335 Å³/cell. The value obtained for the density of states at the Fermi level is 3.98 states/eV/f.u.

# 3
Entry from the Alexandria database: a relaxed structure of PaTePt2 (GGA-PBE).

It has space group Fm-3m (No. 225), with a = 6.947 Å, b = 6.947 Å, c = 6.947 Å, α = 90.00°, β = 90.00° and γ = 90.00°. The asymmetric unit holds Pa at (0.000, 0.000, 0.000), Te at (0.000, 0.000, 0.500) and Pt at (0.250, 0.250, 0.250).

Its calculated total energy is -6.83 eV per atom. The value obtained for the energy relative to the elements, uncorrected is -0.65 eV/atom. As for the volume: 335 Å³/cell. The value obtained for the density of states at the Fermi level is 3.05 states/eV/f.u.